A plane-wave DFT calculation with SCAN was carried out for a PBEsol-optimized structure of LaPt3.

abc: 5.413 7.462 7.772
angles: 90.00 90.00 90.00
Atoms (fractional coordinates):
La (0.372, 0.250, 0.037)
La (0.872, 0.750, 0.463)
La (0.128, 0.250, 0.537)
La (0.628, 0.750, 0.963)
Pt (0.149, 0.750, 0.123)
Pt (0.593, 0.052, 0.664)
Pt (0.593, 0.448, 0.664)
Pt (0.093, 0.552, 0.836)
Pt (0.093, 0.948, 0.836)
Pt (0.649, 0.250, 0.377)
Pt (0.351, 0.750, 0.623)
Pt (0.907, 0.052, 0.164)
Pt (0.907, 0.448, 0.164)
Pt (0.407, 0.552, 0.336)
Pt (0.407, 0.948, 0.336)
Pt (0.851, 0.250, 0.877)

VASP energy in eV/cell: -1030.05
Total magnetization in μB per formula unit: 0.00
Formation enthalpy at 0 K in eV per atom: -0.957
SG: No. 62
Density of states at the Fermi level in states/eV per atom: 0.64